Entry from Alexandria: a relaxed ScAl2Cu6 crystal (GGA-PBE).

```
ScAl2Cu6
1.0
-1.998 2.148 0.142
-4.133 -2.206 5.575
1.012 2.502 6.764
Sc Cu Al
1 6 2
Direct
0.000 0.000 0.000
0.676 0.646 0.003
0.500 0.331 0.669
0.324 0.354 0.997
0.676 0.003 0.646
0.324 0.997 0.354
0.500 0.669 0.331
0.146 0.354 0.354
0.854 0.646 0.646
```

Properties
* DFT formation energy: -0.113 eV per atom
* V: 128.70 Å³/f.u.
* crystal system: orthorhombic
* space-group type: Immm, No. 71

Entry from Alexandria: a relaxed SnTeSe2 crystal (GGA-PBE).

```
SnTeSe2
1.0
3.917 0.000 0.000
1.959 3.392 0.000
1.959 1.131 7.987
Te Se Sn
1 2 1
Direct
0.668 0.668 0.997
0.247 0.247 0.260
0.087 0.087 0.740
0.499 0.499 0.503
```

Properties
* ΔE_f (raw): 0.00 eV/atom
* V: 106.14 Å³/f.u.
* crystal system: trigonal
* space-group type: R3m, No. 160
* excess energy over the best structure of this formula in the dataset: 0.092 eV per atom

Entry from Alexandria: a relaxed Sr3Ag2As4 crystal (GGA-PBE).

```
Sr3Ag2As4
1.0
-4.277 1.866 -0.532
-0.196 -6.210 0.522
-0.007 2.395 8.454
Ag Sr As
2 3 4
Direct
0.620 0.241 0.276
0.380 0.759 0.724
0.658 0.315 0.668
0.342 0.685 0.332
0.000 0.000 0.000
0.066 0.133 0.383
0.716 0.432 0.035
0.284 0.568 0.965
0.934 0.867 0.617
```

Properties
* DFT formation energy: -0.717 eV per atom
* V: 233.27 Å³/f.u.
* crystal system: monoclinic
* space-group type: C2/m, No. 12

Entry from Alexandria: a relaxed Mg2In2Ir crystal (GGA-PBE).

```
Mg2In2Ir
1.0
4.496 0.000 0.000
0.000 4.496 0.000
-2.248 -2.248 11.022
Mg In Ir
4 4 2
Direct
0.181 0.181 0.362
0.819 0.819 0.638
0.931 0.431 0.862
0.569 0.069 0.138
0.431 0.931 0.861
0.319 0.319 0.639
0.069 0.569 0.139
0.681 0.681 0.361
0.250 0.750 0.500
0.500 0.500 0.000
```

Properties
* DFT formation energy: -0.156 eV per atom
* V: 111.39 Å³/f.u.
* crystal system: tetragonal
* space-group type: I4_1/amd, No. 141
* excess energy over the best structure of this formula in the dataset: 0.000 eV per atom

Entry from Alexandria: a relaxed CsZnO2 crystal (GGA-PBE).

```
CsZnO2
1.0
3.327 0.000 0.000
0.000 6.537 0.020
0.000 -2.269 6.825
O Cs Zn
4 2 2
Direct
0.750 0.688 0.334
0.250 0.312 0.666
0.750 0.694 0.000
0.250 0.306 0.000
0.250 0.820 0.700
0.750 0.180 0.300
0.250 0.636 0.159
0.750 0.364 0.841
```

Properties
* ΔE_f (raw): -0.98 eV/atom
* V: 74.30 Å³/f.u.
* crystal system: monoclinic
* space-group type: P2_1/m, No. 11

Entry from Alexandria: a relaxed CeErTePb crystal (GGA-PBE).

```
CeErTePb
1.0
-2.687 2.821 2.194
-4.436 -0.328 -0.455
-2.611 -3.766 6.199
Er Te Ce Pb
1 1 1 1
Direct
0.192 0.192 0.424
0.941 0.941 0.178
0.697 0.697 0.910
0.447 0.447 0.659
```

Properties
* ΔE_f (raw): -0.87 eV/atom
* V: 125.74 Å³/f.u.
* crystal system: trigonal
* space-group type: R3m, No. 160

Entry from Alexandria: a relaxed CeDy5Tm crystal (GGA-PBE).

```
CeDy5Tm
1.0
4.887 0.906 2.924
3.079 7.732 3.803
1.179 1.232 8.981
Dy Tm Ce
5 1 1
Direct
0.000 0.686 0.314
0.512 0.248 0.248
0.000 0.314 0.686
0.500 0.000 0.000
0.488 0.752 0.752
0.500 0.500 0.500
0.000 0.000 0.000
```

Properties
* DFT formation energy: 0.919 eV per atom
* V: 279.91 Å³/f.u.
* crystal system: monoclinic
* space-group type: C2/m, No. 12

Entry from Alexandria: a relaxed Cs3CaPb2F9 crystal (GGA-PBE).

```
Cs3CaPb2F9
1.0
6.771 0.000 0.000
-3.385 5.864 0.000
0.000 0.000 8.296
F Pb Ca Cs
9 2 1 3
Direct
0.841 0.159 0.658
0.159 0.841 0.342
0.000 0.500 0.000
0.841 0.682 0.658
0.500 0.000 0.000
0.682 0.841 0.342
0.159 0.318 0.342
0.318 0.159 0.658
0.500 0.500 0.000
0.667 0.333 0.823
0.333 0.667 0.177
0.000 0.000 0.500
0.000 0.000 0.000
0.333 0.667 0.666
0.667 0.333 0.334
```

Properties
* ΔE_f (raw): -2.85 eV/atom
* V: 329.35 Å³/f.u.
* crystal system: trigonal
* space-group type: P-3m1, No. 164

Question: Which formula does entry 6 have?
Answer: CeErTePb

Question: Look up the V of the fourth one.
Answer: 111.39 Å³/f.u.

Repeat the fourth record exactly.
Entry from Alexandria: a relaxed Mg2In2Ir crystal (GGA-PBE).

```
Mg2In2Ir
1.0
4.496 0.000 0.000
0.000 4.496 0.000
-2.248 -2.248 11.022
Mg In Ir
4 4 2
Direct
0.181 0.181 0.362
0.819 0.819 0.638
0.931 0.431 0.862
0.569 0.069 0.138
0.431 0.931 0.861
0.319 0.319 0.639
0.069 0.569 0.139
0.681 0.681 0.361
0.250 0.750 0.500
0.500 0.500 0.000
```

Properties
* DFT formation energy: -0.156 eV per atom
* V: 111.39 Å³/f.u.
* crystal system: tetragonal
* space-group type: I4_1/amd, No. 141
* excess energy over the best structure of this formula in the dataset: 0.000 eV per atom

Question: V of number 1 (ScAl2Cu6)?
Answer: 128.70 Å³/f.u.